No. 1
A relaxed PmDyAgRu crystal, computed with PBE.

a b c (Å): 3.459 3.459 7.618
angles (deg): 90.00 90.00 90.00
Fractional coordinates of all 4 atoms:
Pm (0.000, 0.000, 0.000)
Dy (0.000, 0.000, 0.554)
Ag (0.500, 0.500, 0.291)
Ru (0.500, 0.500, 0.769)

Calculated values
DFT total energy (eV/cell): -22.86
Offset from the most stable computed form (kcal/mol of atoms): 0.00
ΔH_f (0 K) (eV per atom): -0.3440
Symmetry: P4mm, No. 99
Size of the total moment (μB per cell): 0.00

---

No. 2
A relaxed La3Tb2Pr6Y crystal, computed with PBE.

a b c (Å): 6.397 6.397 12.183
angles (deg): 95.04 95.04 120.05
Fractional coordinates of all 12 atoms:
La (0.000, 0.000, 0.000)
La (0.333, 0.667, 0.000)
La (0.667, 0.333, 0.000)
Tb (0.167, 0.833, 0.500)
Tb (0.833, 0.167, 0.500)
Pr (0.084, 0.418, 0.255)
Pr (0.248, 0.248, 0.745)
Pr (0.418, 0.084, 0.255)
Pr (0.582, 0.916, 0.745)
Pr (0.752, 0.752, 0.255)
Pr (0.916, 0.582, 0.745)
Y (0.500, 0.500, 0.500)

Calculated values
DFT total energy (eV/cell): -58.99
ΔH_f (0 K) (eV per atom): 0.0160
Symmetry: C2/m, No. 12
Size of the total moment (μB per cell): 0.00

---

No. 3
A relaxed Na2AgSe4 crystal, computed with PBE.

a b c (Å): 8.598 8.598 8.598
angles (deg): 126.74 126.74 78.68
Fractional coordinates of all 14 atoms:
Na (0.039, 0.125, 0.414)
Na (0.375, 0.961, 0.086)
Na (0.711, 0.625, 0.586)
Na (0.875, 0.289, 0.914)
Ag (0.250, 0.750, 0.500)
Ag (0.500, 0.500, 0.000)
Se (0.017, 0.677, 0.067)
Se (0.050, 0.983, 0.659)
Se (0.140, 0.573, 0.841)
Se (0.323, 0.390, 0.341)
Se (0.427, 0.267, 0.567)
Se (0.610, 0.950, 0.933)
Se (0.700, 0.860, 0.433)
Se (0.733, 0.300, 0.159)

Calculated values
DFT total energy (eV/cell): -44.88
Symmetry: I-42d, No. 122
Size of the total moment (μB per cell): 0.00
E_form (uncorrected) (eV/atom): -0.430

---

Number 3 is which compound? Na2AgSe4

---

Look up the size of the total moment of the third one. 0.00 μB per cell

---

DFT total energy of number 1 (PmDyAgRu)? -22.86 eV/cell